# 1
DFT (GGA-PBE) results for a geometry-optimized La2Pm5ErSc structure.

a b c (Å): 5.4617 11.4009 10.1509
angles (deg): 90.00 90.00 103.86
Sites, in units of the cell vectors:
Er  0.3969  0.7938  0.5080
Er  0.6031  0.2062  0.0080
Pm  0.3723  0.7446  0.0082
Pm  0.7235  0.4471  0.1949
Pm  0.7239  0.4477  0.8221
Pm  0.0005  0.0011  0.0080
Pm  0.9994  0.9989  0.5080
Pm  0.2765  0.5530  0.6950
Pm  0.5000  0.0000  0.2580
Pm  0.6277  0.2554  0.5083
Pm  0.2761  0.5523  0.3220
Pm  0.5000  0.0000  0.7581
Sc  0.7862  0.5725  0.5084
Sc  0.2138  0.4276  0.0084
La  0.8833  0.7666  0.2529
La  0.8836  0.7671  0.7634
La  0.1167  0.2334  0.7530
La  0.1164  0.2329  0.2633

Results
SG = Cmc2_1 (36)
ΔE_f = 1.03 eV/f.u.

---

# 2
DFT (GGA-PBE) results for a geometry-optimized CuH3Pd3 structure.

a b c (Å): 5.2476 5.2476 7.0361
angles (deg): 68.11 68.11 60.00
Sites, in units of the cell vectors:
H  0.2150  0.8794  0.3637
H  0.8794  0.5419  0.3637
H  0.4581  0.7850  0.6363
H  0.7850  0.1206  0.6363
H  0.5419  0.2150  0.3637
H  0.1206  0.4581  0.6363
Cu  0.6666  0.6666  0.0003
Cu  0.3334  0.3334  0.9997
Pd  0.8991  0.2298  0.3041
Pd  0.1009  0.7702  0.6959
Pd  0.4330  0.1009  0.6959
Pd  0.5670  0.8991  0.3041
Pd  0.7702  0.4330  0.6959
Pd  0.2298  0.5670  0.3041

Results
SG = R-3 (148)
E above lowest polymorph = 10.6 meV/atom

---

# 3
DFT (GGA-PBE) results for a geometry-optimized HfNp2S6 structure.

a b c (Å): 6.1975 6.1975 11.9074
angles (deg): 90.00 90.00 90.00
Sites, in units of the cell vectors:
S  0.8077  0.1923  0.1576
S  0.6923  0.6923  0.6576
S  0.2980  0.2980  0.0000
S  0.2020  0.7980  0.5000
S  0.1923  0.8077  0.1576
S  0.1923  0.8077  0.8424
S  0.7980  0.2020  0.5000
S  0.8077  0.1923  0.8424
S  0.6923  0.6923  0.3424
S  0.3077  0.3077  0.3424
S  0.7020  0.7020  0.0000
S  0.3077  0.3077  0.6576
Hf  0.5000  0.5000  0.5000
Hf  0.0000  0.0000  0.0000
Np  0.0000  0.0000  0.6691
Np  0.5000  0.5000  0.1691
Np  0.5000  0.5000  0.8309
Np  0.0000  0.0000  0.3309

Results
SG = P4_2/mnm (136)
E_form (uncorrected) = -1.2537 eV per atom